[1]
The following is a meta-GGA SCAN calculation of a crystal of BePt2Br relaxed with PBEsol, from Alexandria.

Lattice parameters (Å, degrees): 8.7123 8.7123 8.7123 153.81 153.81 37.38
Last column: nearest neighbours and their distance in Å.
Atoms (fractional coordinates):
Be: 0.0000 0.0000 0.0000  4 Pt 2.46
Be: 0.7500 0.2500 0.5000  4 Pt 2.46
Pt: 0.1030 0.6250 0.9780  2 Be 2.46, 2 Br 2.53, 2 Pt 2.67
Pt: 0.3750 0.3530 0.4780  2 Be 2.46, 2 Br 2.53, 2 Pt 2.67
Pt: 0.6470 0.1250 0.0220  2 Be 2.46, 2 Br 2.53, 2 Pt 2.67
Pt: 0.8750 0.8970 0.5220  2 Be 2.46, 2 Br 2.53, 2 Pt 2.67
Br: 0.2500 0.7500 0.5000  4 Pt 2.53, 4 Be 2.79
Br: 0.5000 0.5000 0.0000  4 Pt 2.53, 4 Be 2.79

Calculated values
Polymorph energy (0 for the lowest one), eV/f.u.: 1.95
Space-group type: I-42d, No. 122
Calculated volume, Å³/f.u.: 64.3

---

[2]
The following is a meta-GGA SCAN calculation of a crystal of BePt2Br relaxed with PBEsol, from Alexandria.

Lattice parameters (Å, degrees): 3.6492 3.6492 7.7655 106.37 106.37 44.18
Last column: nearest neighbours and their distance in Å.
Atoms (fractional coordinates):
Be: 0.0000 0.0000 0.0000  6 Pt 2.27-2.31
Pt: 0.3425 0.3425 0.1593  3 Be 2.27-2.31, 1 Br 2.53
Pt: 0.6575 0.6575 0.8407  3 Be 2.27-2.31, 1 Br 2.53
Br: 0.5000 0.5000 0.5000  2 Pt 2.53, 2 Br 2.74

Calculated values
Polymorph energy (0 for the lowest one), eV/f.u.: 0.00
Space-group type: C2/m, No. 12
Calculated volume, Å³/f.u.: 68.7

---

[3]
The following is a meta-GGA SCAN calculation of a crystal of BePtSe2Br relaxed with PBEsol, from Alexandria.

Lattice parameters (Å, degrees): 4.5884 4.5884 4.2994 90.00 90.00 90.00
Last column: nearest neighbours and their distance in Å.
Atoms (fractional coordinates):
Be: 0.0000 0.0000 0.0000  2 Br 2.15, 4 Se 2.29
Pt: 0.5000 0.5000 0.5000  8 Se 3.14, 4 Br 3.24
Se: 0.0000 0.5000 0.0000  2 Be 2.29
Se: 0.5000 0.0000 0.0000  2 Be 2.29
Br: 0.0000 0.0000 0.5000  2 Be 2.15

Calculated values
Space-group type: P4/mmm, No. 123
Calculated volume, Å³/f.u.: 90.5

---

[4]
The following is a meta-GGA SCAN calculation of a crystal of Be2ReSnBr relaxed with PBEsol, from Alexandria.

Lattice parameters (Å, degrees): 4.1871 4.1871 4.8962 90.00 90.00 90.00
Last column: nearest neighbours and their distance in Å.
Atoms (fractional coordinates):
Be: 0.0000 0.5000 0.0000  2 Br 2.09
Be: 0.5000 0.0000 0.0000  2 Br 2.09
Re: 0.0000 0.0000 0.5000  2 Br 2.45
Sn: 0.5000 0.5000 0.5000  4 Re 2.96, 8 Be 3.22
Br: 0.0000 0.0000 0.0000  4 Be 2.09

Calculated values
Space-group type: P4/mmm, No. 123
Calculated volume, Å³/f.u.: 85.8

---

[5]
The following is a meta-GGA SCAN calculation of a crystal of BeRh2Br relaxed with PBEsol, from Alexandria.

Lattice parameters (Å, degrees): 4.2566 4.2566 2.9635 90.00 90.00 92.77
Last column: nearest neighbours and their distance in Å.
Atoms (fractional coordinates):
Be: 0.0000 0.0000 0.0000  8 Rh 2.59
Rh: 0.0000 0.5000 0.5000  4 Br 2.59, 4 Be 2.59
Rh: 0.5000 0.0000 0.5000  4 Br 2.59, 4 Be 2.59
Br: 0.5000 0.5000 0.0000  8 Rh 2.59

Calculated values
Polymorph energy (0 for the lowest one), eV/f.u.: 0.17
Space-group type: Cmmm, No. 65
Calculated volume, Å³/f.u.: 53.6

---

[6]
The following is a meta-GGA SCAN calculation of a crystal of BeRh2Br relaxed with PBEsol, from Alexandria.

Lattice parameters (Å, degrees): 5.1725 5.1725 5.1725 147.06 132.14 59.32
Last column: nearest neighbours and their distance in Å.
Atoms (fractional coordinates):
Be: 0.0000 0.0000 0.0000  4 Rh 2.30, 4 Br 2.56
Rh: 0.1967 0.6967 0.5000  2 Be 2.30
Rh: 0.8033 0.3033 0.5000  2 Be 2.30
Br: 0.5000 0.5000 0.0000  4 Be 2.56, 4 Rh 2.74

Calculated values
Polymorph energy (0 for the lowest one), eV/f.u.: 0.00
Space-group type: Immm, No. 71
Calculated volume, Å³/f.u.: 55.3

---

[7]
The following is a meta-GGA SCAN calculation of a crystal of Be2TcRhBr relaxed with PBEsol, from Alexandria.

Lattice parameters (Å, degrees): 4.0961 4.0961 4.9691 90.00 90.00 90.00
Last column: nearest neighbours and their distance in Å.
Atoms (fractional coordinates):
Be: 0.0000 0.5000 0.0000  2 Rh 2.05
Be: 0.5000 0.0000 0.0000  2 Rh 2.05
Tc: 0.0000 0.0000 0.5000  4 Br 2.90, 8 Be 3.22
Rh: 0.5000 0.5000 0.0000  4 Be 2.05
Br: 0.5000 0.5000 0.5000  2 Rh 2.48

Calculated values
Space-group type: P4/mmm, No. 123
Calculated volume, Å³/f.u.: 83.4

---

[8]
The following is a meta-GGA SCAN calculation of a crystal of BeRuBr3 relaxed with PBEsol, from Alexandria.

Lattice parameters (Å, degrees): 4.9359 4.9359 4.9359 90.00 90.00 90.00
Last column: nearest neighbours and their distance in Å.
Atoms (fractional coordinates):
Be: 0.0000 0.0000 0.0000  12 Br 3.49
Ru: 0.5000 0.5000 0.5000  6 Br 2.47
Br: 0.0000 0.5000 0.5000  2 Ru 2.47
Br: 0.5000 0.0000 0.5000  2 Ru 2.47
Br: 0.5000 0.5000 0.0000  2 Ru 2.47

Calculated values
Space-group type: Pm-3m, No. 221
Calculated volume, Å³/f.u.: 120.3

---

[9]
The following is a meta-GGA SCAN calculation of a crystal of Be3RuBr relaxed with PBEsol, from Alexandria.

Lattice parameters (Å, degrees): 4.1309 4.1309 4.1309 90.00 90.00 90.00
Last column: nearest neighbours and their distance in Å.
Atoms (fractional coordinates):
Be: 0.0000 0.0000 0.5000  2 Br 2.07
Be: 0.0000 0.5000 0.0000  2 Br 2.07
Be: 0.5000 0.0000 0.0000  2 Br 2.07
Ru: 0.5000 0.5000 0.5000  12 Be 2.92
Br: 0.0000 0.0000 0.0000  6 Be 2.07

Calculated values
Space-group type: Pm-3m, No. 221
Calculated volume, Å³/f.u.: 70.5

---

[10]
The following is a meta-GGA SCAN calculation of a crystal of BeSnRuBr2 relaxed with PBEsol, from Alexandria.

Lattice parameters (Å, degrees): 4.9588 4.9588 5.1560 90.00 90.00 90.00
Last column: nearest neighbours and their distance in Å.
Atoms (fractional coordinates):
Be: 0.0000 0.0000 0.0000  4 Sn 3.51, 8 Br 3.58
Sn: 0.5000 0.5000 0.0000  2 Ru 2.58
Ru: 0.5000 0.5000 0.5000  4 Br 2.48, 2 Sn 2.58
Br: 0.0000 0.5000 0.5000  2 Ru 2.48
Br: 0.5000 0.0000 0.5000  2 Ru 2.48

Calculated values
Space-group type: P4/mmm, No. 123
Calculated volume, Å³/f.u.: 126.8

---

[11]
The following is a meta-GGA SCAN calculation of a crystal of Be2SeSBr relaxed with PBEsol, from Alexandria.

Lattice parameters (Å, degrees): 4.3453 4.3453 4.9531 90.00 90.00 90.00
Last column: nearest neighbours and their distance in Å.
Atoms (fractional coordinates):
Be: 0.0000 0.5000 0.0000  2 S 2.17
Be: 0.5000 0.0000 0.0000  2 S 2.17
Se: 0.0000 0.0000 0.5000  2 S 2.48
S: 0.0000 0.0000 0.0000  4 Be 2.17
Br: 0.5000 0.5000 0.5000  4 Se 3.07, 8 Be 3.29

Calculated values
Space-group type: P4/mmm, No. 123
Calculated volume, Å³/f.u.: 93.5

---

[12]
The following is a meta-GGA SCAN calculation of a crystal of BeSbBr relaxed with PBEsol, from Alexandria.

Lattice parameters (Å, degrees): 4.7828 4.7828 4.7828 60.00 60.00 60.00
Last column: nearest neighbours and their distance in Å.
Atoms (fractional coordinates):
Be: 0.0000 0.0000 0.0000  4 Sb 2.93
Sb: 0.7500 0.7500 0.7500  4 Be 2.93, 4 Br 2.93
Br: 0.5000 0.5000 0.5000  4 Sb 2.93

Calculated values
Polymorph energy (0 for the lowest one), eV/f.u.: 2.66
Space-group type: F-43m, No. 216
Calculated volume, Å³/f.u.: 77.4

---

[13]
The following is a meta-GGA SCAN calculation of a crystal of BeSbBr3 relaxed with PBEsol, from Alexandria.

Lattice parameters (Å, degrees): 4.7758 4.7758 4.7758 90.00 90.00 90.00
Last column: nearest neighbours and their distance in Å.
Atoms (fractional coordinates):
Be: 0.0000 0.0000 0.0000  6 Br 2.39
Sb: 0.5000 0.5000 0.5000  12 Br 3.38
Br: 0.0000 0.0000 0.5000  2 Be 2.39
Br: 0.0000 0.5000 0.0000  2 Be 2.39
Br: 0.5000 0.0000 0.0000  2 Be 2.39

Calculated values
Space-group type: Pm-3m, No. 221
Calculated volume, Å³/f.u.: 108.9

---

[14]
The following is a meta-GGA SCAN calculation of a crystal of BeSbBr relaxed with PBEsol, from Alexandria.

Lattice parameters (Å, degrees): 7.8386 7.8386 7.8386 156.88 155.48 33.95
Last column: nearest neighbours and their distance in Å.
Atoms (fractional coordinates):
Be: 0.0000 0.0000 0.0000  1 Br 2.01
Sb: 0.3990 0.3990 0.0000  4 Be 2.74
Br: 0.1340 0.1340 0.0000  1 Be 2.01

Calculated values
Polymorph energy (0 for the lowest one), eV/f.u.: 0.00
Space-group type: Imm2, No. 44
Calculated volume, Å³/f.u.: 78.4

---

[15]
The following is a meta-GGA SCAN calculation of a crystal of ScBe2Br relaxed with PBEsol, from Alexandria.

Lattice parameters (Å, degrees): 3.2483 3.2483 5.9207 90.00 90.00 90.09
Last column: nearest neighbours and their distance in Å.
Atoms (fractional coordinates):
Sc: 0.0000 0.0000 0.0000  8 Be 2.76, 2 Br 2.96
Be: 0.5000 0.5000 0.2586  4 Br 2.70-2.71, 4 Sc 2.76, 1 Be 2.86
Be: 0.5000 0.5000 0.7414  4 Br 2.70-2.71, 4 Sc 2.76, 1 Be 2.86
Br: 0.0000 0.0000 0.5000  8 Be 2.70-2.71, 2 Sc 2.96

Calculated values
Polymorph energy (0 for the lowest one), eV/f.u.: 1.37
Space-group type: Cmmm, No. 65
Calculated volume, Å³/f.u.: 62.5

---

[16]
The following is a meta-GGA SCAN calculation of a crystal of ScBeBr2 relaxed with PBEsol, from Alexandria.

Lattice parameters (Å, degrees): 3.5337 4.3667 5.5823 90.00 91.23 90.00
Last column: nearest neighbours and their distance in Å.
Atoms (fractional coordinates):
Sc: 0.0000 0.0000 0.0000  4 Br 2.71
Be: 0.5000 0.0000 0.5000  4 Br 2.74
Br: 0.2336 0.5000 0.2508  2 Sc 2.71, 2 Be 2.74
Br: 0.7664 0.5000 0.7492  2 Sc 2.71, 2 Be 2.74

Calculated values
Space-group type: P2/m, No. 10
Calculated volume, Å³/f.u.: 86.1

---

[17]
The following is a meta-GGA SCAN calculation of a crystal of Sc2BeBr relaxed with PBEsol, from Alexandria.

Lattice parameters (Å, degrees): 5.6604 5.6604 5.6604 140.29 140.29 57.42
Last column: nearest neighbours and their distance in Å.
Atoms (fractional coordinates):
Sc: 0.0000 0.0000 0.0000  4 Be 2.72
Sc: 0.7500 0.2500 0.5000  4 Br 2.72
Be: 0.5000 0.5000 0.0000  4 Sc 2.72
Br: 0.2500 0.7500 0.5000  4 Sc 2.72

Calculated values
Polymorph energy (0 for the lowest one), eV/f.u.: 1.46
Space-group type: I-4m2, No. 119
Calculated volume, Å³/f.u.: 73.4

---

[18]
The following is a meta-GGA SCAN calculation of a crystal of ScBe2Br relaxed with PBEsol, from Alexandria.

Lattice parameters (Å, degrees): 3.1606 3.9585 5.3658 90.00 90.00 90.00
Last column: nearest neighbours and their distance in Å.
Atoms (fractional coordinates):
Sc: 0.0000 0.0000 0.0000  2 Be 2.52
Be: 0.5000 0.0000 0.3667  2 Be 2.09
Be: 0.5000 0.5000 0.2422  2 Be 2.09
Br: 0.5000 0.5000 0.7454  4 Be 2.67-2.84, 4 Sc 2.88

Calculated values
Polymorph energy (0 for the lowest one), eV/f.u.: 0.00
Space-group type: Pmm2, No. 25
Calculated volume, Å³/f.u.: 67.1

---

[19]
The following is a meta-GGA SCAN calculation of a crystal of Sc2BeBr relaxed with PBEsol, from Alexandria.

Lattice parameters (Å, degrees): 9.2487 9.2487 9.2487 20.75 20.75 20.75
Last column: nearest neighbours and their distance in Å.
Atoms (fractional coordinates):
Sc: 0.0000 0.0000 0.0000  3 Be 2.71
Sc: 0.2391 0.2391 0.2391  3 Br 2.70
Be: 0.7369 0.7369 0.7369  3 Sc 2.71
Br: 0.5025 0.5025 0.5025  3 Sc 2.70

Calculated values
Polymorph energy (0 for the lowest one), eV/f.u.: 1.09
Space-group type: R3m, No. 160
Calculated volume, Å³/f.u.: 86.9

---

[20]
The following is a meta-GGA SCAN calculation of a crystal of ScBe2Br relaxed with PBEsol, from Alexandria.

Lattice parameters (Å, degrees): 4.9888 4.9888 4.9888 138.91 130.89 65.90
Last column: nearest neighbours and their distance in Å.
Atoms (fractional coordinates):
Sc: 0.0000 0.0000 0.0000  8 Be 2.73-2.92, 4 Br 2.78-2.90
Be: 0.2552 0.7552 0.5000  2 Be 2.45, 4 Br 2.72
Be: 0.4599 0.4599 0.0000  2 Be 2.45, 4 Sc 2.73
Br: 0.7420 0.2420 0.5000  8 Be 2.72-2.94, 4 Sc 2.78-2.90

Calculated values
Polymorph energy (0 for the lowest one), eV/f.u.: 0.73
Space-group type: Imm2, No. 44
Calculated volume, Å³/f.u.: 60.8

---

Number 1: E_form (uncorrected) 0.31 eV/atom, calculated total energy -40.740 eV/atom, density of states at the Fermi level 2.89 states/eV per cell. Number 2: E_form (uncorrected) -0.18 eV/atom, calculated total energy -41.227 eV/atom, density of states at the Fermi level 1.48 states/eV per cell. Number 3: E_form (uncorrected) 0.68 eV/atom, calculated total energy -26.149 eV/atom, density of states at the Fermi level 3.66 states/eV per cell. Number 4: E_form (uncorrected) 1.71 eV/atom, calculated total energy -25.326 eV/atom, density of states at the Fermi level 3.08 states/eV per cell. Number 5: E_form (uncorrected) 0.39 eV/atom, calculated total energy -22.451 eV/atom, density of states at the Fermi level 2.99 states/eV per cell. Number 6: E_form (uncorrected) 0.35 eV/atom, calculated total energy -22.493 eV/atom, density of states at the Fermi level 3.06 states/eV per cell. Number 7: E_form (uncorrected) 1.08 eV/atom, calculated total energy -18.320 eV/atom, density of states at the Fermi level 2.78 states/eV per cell. Number 8: E_form (uncorrected) 0.60 eV/atom, calculated total energy -18.914 eV/atom, density of states at the Fermi level 3.48 states/eV per cell. Number 9: E_form (uncorrected) 1.60 eV/atom, calculated total energy -11.871 eV/atom, density of states at the Fermi level 1.10 states/eV per cell. Number 10: E_form (uncorrected) 0.74 eV/atom, calculated total energy -22.061 eV/atom, density of states at the Fermi level 3.68 states/eV per cell. Number 11: E_form (uncorrected) 0.76 eV/atom, calculated total energy -10.812 eV/atom, density of states at the Fermi level 4.67 states/eV per cell. Number 12: E_form (uncorrected) 0.91 eV/atom, calculated total energy -19.451 eV/atom, density of states at the Fermi level 3.36 states/eV per cell. Number 13: E_form (uncorrected) -0.08 eV/atom, calculated total energy -20.083 eV/atom, density of states at the Fermi level 1.71 states/eV per cell. Number 14: E_form (uncorrected) 0.02 eV/atom, calculated total energy -20.338 eV/atom, density of states at the Fermi level 1.23 states/eV per cell. Number 15: E_form (uncorrected) 0.44 eV/atom, calculated total energy -10.156 eV/atom, density of states at the Fermi level 1.59 states/eV per cell. Number 16: E_form (uncorrected) -0.15 eV/atom, calculated total energy -14.532 eV/atom, density of states at the Fermi level 2.26 states/eV per cell. Number 17: E_form (uncorrected) -0.02 eV/atom, calculated total energy -13.088 eV/atom, density of states at the Fermi level 3.51 states/eV per cell. Number 18: E_form (uncorrected) 0.10 eV/atom, calculated total energy -10.498 eV/atom, density of states at the Fermi level 1.79 states/eV per cell. Number 19: E_form (uncorrected) -0.11 eV/atom, calculated total energy -13.183 eV/atom, density of states at the Fermi level 2.80 states/eV per cell. Number 20: E_form (uncorrected) 0.29 eV/atom, calculated total energy -10.315 eV/atom, density of states at the Fermi level 1.46 states/eV per cell.